## ZnAu2Br (GGA-PBE)

Data for a geometry-optimized ZnAu2Br structure.

Computed properties:
ΔE to the lowest computed polymorph	0.306	eV/atom
crystal system	tetragonal
formation energy without anion corrections	105	meV per atom
spin magnetization	0.000	μB/f.u.
uncorrected energy	-9.1	eV for the cell shown

abc: 3.403 3.403 6.909
angles: 90.00 90.00 90.00
Space group P4/mmm (No. 123)
Symmetry-distinct sites (fractional):
Zn 0.000 0.000 0.000 x1
Au 0.500 0.500 0.199 x2
Br 0.000 0.000 0.500 x1